1.
Computed, not measured: a relaxed Cu4Ag5 crystal at the GGA-PBE level of DFT.

- energy above the most stable polymorph in this dataset (meV/atom) = 43.6
- space group = No. 12
- energy relative to the elements (kJ/mol of atoms) = 7.9

Geometry as POSCAR:
```
Cu4Ag5
1.0
-2.977 4.045 3.134
-1.382 2.736 5.065
7.039 4.293 -2.904
Ag Cu
5 4
Cartesian
1.546 10.234 5.663
3.520 2.146 -1.452
0.505 3.298 1.819
1.134 0.839 -0.368
2.175 7.775 3.476
-0.064 6.299 4.325
2.745 4.774 0.970
-2.659 4.674 5.367
5.339 6.399 -0.071
```

=====

2.
Computed, not measured: a relaxed CuAg crystal at the GGA-PBE level of DFT.

- space group = No. 8
- energy relative to the elements (kJ/mol of atoms) = 9.5

Geometry as POSCAR:
```
CuAg
1.0
11.148 -1.413 0.000
11.148 1.413 0.000
-0.440 0.000 4.753
Cu Ag
5 5
Cartesian
17.644 0.000 2.860
10.864 0.000 2.257
13.132 0.000 0.940
0.011 0.000 0.107
20.076 0.000 1.434
1.730 0.000 3.308
6.784 0.000 0.536
4.246 0.000 1.899
15.191 0.000 4.280
8.677 0.000 3.770
```

=====

3.
Computed, not measured: a relaxed CuAg crystal at the GGA-PBE level of DFT.

- space group = No. 8
- energy relative to the elements (kJ/mol of atoms) = 9.0

Geometry as POSCAR:
```
CuAg
1.0
-0.864 -1.044 -5.833
-0.475 -3.601 -4.762
-6.568 1.649 6.318
Ag Cu
4 4
Cartesian
-2.551 -3.003 -6.238
-3.952 -1.478 -2.091
-5.313 0.060 2.073
-1.364 -1.591 -3.300
-2.791 0.010 1.037
-6.521 -1.419 -1.016
-6.447 1.615 6.194
-5.304 -3.033 -5.310
```

=====

4.
Computed, not measured: a relaxed Cu3Ag7 crystal at the GGA-PBE level of DFT.

- energy above the most stable polymorph in this dataset (meV/atom) = 37.8
- space group = No. 8
- energy relative to the elements (kJ/mol of atoms) = 6.4

Geometry as POSCAR:
```
Cu3Ag7
1.0
-2.376 -1.243 -4.163
0.428 -1.614 -4.662
-0.368 -10.519 5.754
Ag Cu
7 3
Cartesian
-1.063 -9.649 1.202
-1.249 -3.711 -4.258
-1.143 -6.759 -1.397
-0.537 -4.862 0.599
-0.458 -7.737 3.177
-1.863 -5.681 -6.247
-0.635 -1.715 -2.293
-1.776 -8.682 -3.527
-0.396 -10.487 5.575
-1.672 -11.432 -0.895
```

=====

5.
Computed, not measured: a relaxed Cu3Ag7 crystal at the GGA-PBE level of DFT.

- energy above the most stable polymorph in this dataset (meV/atom) = 16.1
- space group = No. 99
- energy relative to the elements (kJ/mol of atoms) = 4.3

Geometry as POSCAR:
```
Cu3Ag7
1.0
-1.990 0.352 2.080
-2.100 -0.058 -1.999
-1.339 -19.122 1.958
Ag Cu
7 3
Cartesian
-2.442 -5.528 0.621
-0.250 -3.570 0.365
-2.986 -13.299 1.417
-2.148 -1.322 0.191
-2.736 -9.721 1.051
-0.544 -7.768 0.795
-1.089 -15.561 1.593
-0.816 -11.657 1.194
-1.316 -18.793 1.924
-3.261 -17.215 1.818
```

=====

6.
Computed, not measured: a relaxed CuAg2 crystal at the GGA-PBE level of DFT.

- energy above the most stable polymorph in this dataset (meV/atom) = 36.0
- space group = No. 107
- energy relative to the elements (kJ/mol of atoms) = 6.5

Geometry as POSCAR:
```
CuAg2
1.0
15.383 -0.096 8.339
16.257 2.926 5.774
-16.538 -0.070 -5.717
Ag Cu
6 3
Cartesian
24.570 2.197 10.960
10.710 0.958 4.777
3.484 0.312 1.554
21.254 1.901 9.481
14.032 1.255 6.259
17.353 1.552 7.741
28.190 2.521 12.574
31.514 2.818 14.057
7.092 0.634 3.163
```

=====

7.
Computed, not measured: a relaxed Cu3Ag2 crystal at the GGA-PBE level of DFT.

- energy above the most stable polymorph in this dataset (meV/atom) = 16.6
- space group = No. 99
- energy relative to the elements (kJ/mol of atoms) = 5.6

Geometry as POSCAR:
```
Cu3Ag2
1.0
2.840 0.000 0.000
0.000 2.840 0.000
0.000 0.000 17.635
Ag Cu
4 6
Cartesian
0.000 0.000 10.788
1.420 1.420 5.612
1.420 1.420 1.297
0.000 0.000 3.456
1.420 1.420 12.638
0.000 0.000 14.121
0.000 0.000 17.086
1.420 1.420 15.603
0.000 0.000 7.455
1.420 1.420 8.937
```

=====

8.
Computed, not measured: a relaxed Cu3Ag5 crystal at the GGA-PBE level of DFT.

- energy above the most stable polymorph in this dataset (meV/atom) = 33.3
- space group = No. 12
- energy relative to the elements (kJ/mol of atoms) = 6.8

Geometry as POSCAR:
```
Cu3Ag5
1.0
-3.238 -2.684 8.592
-0.460 -2.723 9.159
-0.114 4.615 0.880
Cu Ag
3 5
Cartesian
-0.473 2.492 2.491
-1.906 -0.396 9.316
-3.339 -3.285 16.141
-1.456 1.762 7.261
-2.781 -0.527 13.595
-2.356 -2.554 11.371
0.000 0.000 0.000
-1.031 -0.265 5.036
```

=====

Q: energy relative to the elements of number 8 (Cu3Ag5)?
A: 6.8 kJ/mol of atoms